Entry 1:
VASP calculation (PBE) on a geometry-optimized KLi2Be structure.

Properties
The calculation puts the volume at 25.14 Å³/atom. The density of states at the Fermi level comes out at 0.4589 states/eV per atom. Its total energy is -6.83 eV/cell.

a b c (Å): 3.4847 3.4847 8.2802
angles (deg): 90.00 90.00 90.00
Positions (direct):
K (0.0000, 0.0000, 0.0000)
Li (0.0000, 0.0000, 0.6039)
Li (0.5000, 0.5000, 0.3904)
Be (0.5000, 0.5000, 0.6965)

***

Entry 2:
VASP calculation (PBE) on a geometry-optimized Li2Pa2ReN6 structure.

Properties
The calculation puts the volume at 13.64 Å³/atom. For the formation energy without anion corrections, the calculation gives -8.99 eV/f.u. The density of states at the Fermi level comes out at 0.3499 states/eV per atom.

a b c (Å): 5.8303 5.8303 5.2321
angles (deg): 96.78 96.78 119.77
Positions (direct):
Li (0.1260, 0.8740, 0.0000)
Li (0.8740, 0.1260, 0.0000)
Pa (0.3360, 0.6640, 0.5000)
Pa (0.6640, 0.3360, 0.5000)
Re (0.0000, 0.0000, 0.5000)
N (0.0377, 0.3522, 0.6988)
N (0.2462, 0.2462, 0.2886)
N (0.3522, 0.0377, 0.6988)
N (0.6478, 0.9623, 0.3012)
N (0.7538, 0.7538, 0.7114)
N (0.9623, 0.6478, 0.3012)

***

Entry 3:
VASP calculation (PBE) on a geometry-optimized ThCoB4 structure.

Properties
The calculation puts the volume at 10.47 Å³/atom. The density of states at the Fermi level comes out at 0.3406 states/eV per atom. Its total energy is -88.59 eV/cell.

a b c (Å): 6.0363 6.0363 3.5529
angles (deg): 90.00 90.00 104.04
Positions (direct):
Th (0.1997, 0.8003, 0.0000)
Th (0.8003, 0.1997, 0.0000)
Co (0.3210, 0.3210, 0.0000)
Co (0.6790, 0.6790, 0.0000)
B (0.1278, 0.4308, 0.5000)
B (0.1355, 0.1355, 0.5000)
B (0.4113, 0.5887, 0.5000)
B (0.4308, 0.1278, 0.5000)
B (0.5692, 0.8722, 0.5000)
B (0.5887, 0.4113, 0.5000)
B (0.8645, 0.8645, 0.5000)
B (0.8722, 0.5692, 0.5000)